# Ba3Nd3Co6O16

A relaxed Ba3Nd3Co6O16 crystal (PBE with a Hubbard U, the Alexandria database).

a = 8.642 Å, b = 8.642 Å, c = 9.498 Å
α = 121.41°, β = 121.41°, γ = 37.98°
Fractional coordinates of all 28 atoms:
Ba 0.000 0.000 0.000
Ba 0.336 0.336 0.666
Ba 0.664 0.664 0.334
Nd 0.159 0.159 0.817
Nd 0.500 0.500 0.500
Nd 0.841 0.841 0.183
Co 0.085 0.085 0.425
Co 0.246 0.246 0.242
Co 0.412 0.412 0.080
Co 0.588 0.588 0.920
Co 0.754 0.754 0.758
Co 0.915 0.915 0.575
O 0.000 0.000 0.500
O 0.075 0.561 0.939
O 0.102 0.581 0.396
O 0.156 0.156 0.331
O 0.246 0.711 0.253
O 0.289 0.754 0.747
O 0.419 0.898 0.604
O 0.439 0.925 0.061
O 0.500 0.500 0.000
O 0.561 0.075 0.939
O 0.581 0.102 0.396
O 0.711 0.246 0.253
O 0.754 0.289 0.747
O 0.844 0.844 0.669
O 0.898 0.419 0.604
O 0.925 0.439 0.061

Summary:
**ρ**: 6.63 g/cm3
**Uncorrected energy**: -6.632 eV/atom